# Pr4Ho2Sb3N2

Crystalline Pr4Ho2Sb3N2 at its relaxed geometry (PBE-GGA, Alexandria).

Cell: 4.8245 4.8245 25.7201 Å, 90.00 90.00 90.00°
With the nearest neighbours (Å) after each atom.
Space group I4/mmm (No. 139)
Inequivalent atoms, fractional coordinates:
Pr 0.0000 0.5000 0.0845 x8  2 N 2.50
Ho 0.0000 0.0000 0.1935 x4  1 N 2.15
Sb 0.0000 0.0000 0.3177 x4  5 Ho 3.19-3.42, 4 Pr 3.49
Sb 0.0000 0.0000 0.5000 x2  8 Pr 3.25
N 0.0000 0.0000 0.1099 x4  1 Ho 2.15

Calculated volume, Å³ per cell: 598.7
M_tot, μB/atom: 0.000
Formation energy (no corrections), eV per atom: -1.10
Crystal system: tetragonal

# PrSmHoN3

Crystalline PrSmHoN3 at its relaxed geometry (PBE-GGA, Alexandria).

Cell: 6.1235 3.5628 9.2043 Å, 90.00 101.79 90.00°
With the nearest neighbours (Å) after each atom.
Space group P2_1/m (No. 11)
Inequivalent atoms, fractional coordinates:
Pr 0.1519 0.2500 0.1956 x2  7 N 2.58-2.78
Sm 0.2692 0.7500 0.5464 x2  6 N 2.42-2.67
Ho 0.3529 0.2500 0.8612 x2  5 N 2.27-2.50
N 0.0420 0.2500 0.6727 x2  1 Ho 2.30, 1 Sm 2.48
N 0.2575 0.7500 0.9883 x2  3 Ho 2.27-2.50
N 0.4629 0.7500 0.3419 x2  1 Ho 2.37, 3 Sm 2.42-2.50

Calculated volume, Å³ per cell: 196.6
M_tot, μB/atom: 0.000
Formation energy (no corrections), eV per atom: -1.35
Crystal system: monoclinic

# PrHo2SnN4

Crystalline PrHo2SnN4 at its relaxed geometry (PBE-GGA, Alexandria).

Cell: 3.5697 11.8055 12.0426 Å, 90.00 90.00 90.00°
With the nearest neighbours (Å) after each atom.
Space group Cmcm (No. 63)
Inequivalent atoms, fractional coordinates:
Pr 0.0000 0.1131 0.2500 x4  6 N 2.65-2.79
Ho 0.0000 0.3709 0.0357 x8  3 N 2.24-2.39
Sn 0.0000 0.1494 0.7500 x4  4 N 2.09-2.12
N 0.0000 0.0000 0.0000 x4  4 Ho 2.39
N 0.0000 0.2648 0.6184 x8  1 Sn 2.09, 1 Ho 2.24
N 0.0000 0.4475 0.2500 x4  2 Sn 2.12

Calculated volume, Å³ per cell: 507.5
M_tot, μB/atom: 0.000
Formation energy (no corrections), eV per atom: -0.89
Crystal system: orthorhombic

# PrHo2TaN4

Crystalline PrHo2TaN4 at its relaxed geometry (PBE-GGA, Alexandria).

Cell: 3.4165 12.0400 12.0821 Å, 90.00 90.00 90.00°
With the nearest neighbours (Å) after each atom.
Space group Cmcm (No. 63)
Inequivalent atoms, fractional coordinates:
Pr 0.0000 0.0961 0.2500 x4  2 N 2.58
Ho 0.0000 0.3710 0.0340 x8  5 N 2.29-2.54
Ta 0.0000 0.1642 0.7500 x4  4 N 1.95-2.09
N 0.0000 0.0000 0.0000 x4  4 Ho 2.35
N 0.0000 0.2592 0.6196 x8  1 Ta 1.95
N 0.0000 0.4361 0.2500 x4  2 Ta 2.09

Calculated volume, Å³ per cell: 497.0
M_tot, μB/atom: 0.000
Formation energy (no corrections), eV per atom: -1.30
Crystal system: orthorhombic

# PrHoTaN3

Crystalline PrHoTaN3 at its relaxed geometry (PBE-GGA, Alexandria).

Cell: 7.4480 3.4696 7.9829 Å, 90.00 93.04 90.00°
With the nearest neighbours (Å) after each atom.
Space group P2_1/m (No. 11)
Inequivalent atoms, fractional coordinates:
Pr 0.1578 0.2500 0.1656 x2  3 N 2.50-2.65
Ho 0.3876 0.7500 0.8510 x2  3 N 2.19-2.38
Ta 0.1225 0.2500 0.5823 x2  4 N 2.00-2.18
N 0.1421 0.2500 0.8326 x2  1 Ta 2.00
N 0.1697 0.7500 0.4565 x2  3 Ta 2.04-2.18
N 0.3939 0.7500 0.1260 x2  3 Ho 2.19-2.38

Calculated volume, Å³ per cell: 206.0
M_tot, μB/atom: 0.000
Formation energy (no corrections), eV per atom: -1.09
Crystal system: monoclinic

# TbPrHoN3

Crystalline TbPrHoN3 at its relaxed geometry (PBE-GGA, Alexandria).

Cell: 6.0704 3.5382 9.1314 Å, 90.00 101.85 90.00°
With the nearest neighbours (Å) after each atom.
Space group P2_1/m (No. 11)
Inequivalent atoms, fractional coordinates:
Tb 0.2309 0.2500 0.4553 x2  6 N 2.37-2.63
Pr 0.3458 0.7500 0.8020 x2  7 N 2.58-2.76
Ho 0.1479 0.7500 0.1402 x2  5 N 2.27-2.49
N 0.0348 0.2500 0.6543 x2  1 Ho 2.37, 3 Tb 2.37-2.46
N 0.2432 0.2500 0.0107 x2  3 Ho 2.27-2.49
N 0.4580 0.7500 0.3323 x2  1 Ho 2.29, 1 Tb 2.41

Calculated volume, Å³ per cell: 191.9
M_tot, μB/atom: 0.000
Formation energy (no corrections), eV per atom: -1.40
Crystal system: monoclinic

# PrHo2TcN4

Crystalline PrHo2TcN4 at its relaxed geometry (PBE-GGA, Alexandria).

Cell: 3.4685 11.7196 11.5745 Å, 90.00 90.00 90.00°
With the nearest neighbours (Å) after each atom.
Space group Cmcm (No. 63)
Inequivalent atoms, fractional coordinates:
Pr 0.0000 0.1201 0.2500 x4  6 N 2.64-2.75
Ho 0.0000 0.3687 0.0400 x8  5 N 2.29-2.52
Tc 0.0000 0.1432 0.7500 x4  4 N 1.98-2.01
N 0.0000 0.0000 0.0000 x4  4 Ho 2.36
N 0.0000 0.2628 0.6258 x8  1 Tc 2.01
N 0.0000 0.4376 0.2500 x4  2 Tc 1.98

Calculated volume, Å³ per cell: 470.5
M_tot, μB/atom: 0.000
Formation energy (no corrections), eV per atom: -1.10
Crystal system: orthorhombic

# Pr2HoTc2N6

Crystalline Pr2HoTc2N6 at its relaxed geometry (PBE-GGA, Alexandria).

Cell: 5.7681 5.7681 17.9004 Å, 90.00 90.00 120.00°
With the nearest neighbours (Å) after each atom.
Space group R-3m (No. 166, hexagonal axes)
Inequivalent atoms, fractional coordinates:
Pr 0.0000 0.0000 0.2090 x6  3 N 2.58
Ho 0.0000 0.0000 0.0000 x3  6 N 2.36
Tc 0.0000 0.0000 0.3997 x6  3 N 1.80
N 0.0103 0.5051 0.7631 x18  1 Tc 1.80

Calculated volume, Å³ per cell: 515.8
M_tot, μB/atom: 0.000
Formation energy (no corrections), eV per atom: -0.64
Crystal system: trigonal

# Pr2HoTe2N2

Crystalline Pr2HoTe2N2 at its relaxed geometry (PBE-GGA, Alexandria).

Cell: 4.4359 4.4359 16.5144 Å, 90.00 90.00 90.00°
With the nearest neighbours (Å) after each atom.
Space group I4/mmm (No. 139)
Inequivalent atoms, fractional coordinates:
Pr 0.0000 0.0000 0.1033 x4  4 N 2.80
Ho 0.0000 0.0000 0.5000 x2  4 N 2.22
Te 0.0000 0.0000 0.3146 x4  1 Ho 3.06, 4 Pr 3.42
N 0.0000 0.5000 0.0000 x4  2 Ho 2.22

Calculated volume, Å³ per cell: 325.0
M_tot, μB/atom: 0.000
Formation energy (no corrections), eV per atom: -1.23
Crystal system: tetragonal

# PrHoTh2N4

Crystalline PrHoTh2N4 at its relaxed geometry (PBE-GGA, Alexandria).

Cell: 6.2390 3.6307 6.3028 Å, 90.00 109.54 90.00°
With the nearest neighbours (Å) after each atom.
Space group P2/m (No. 10)
Inequivalent atoms, fractional coordinates:
Pr 0.0000 0.0000 0.0000 x1  6 N 2.61-2.62
Ho 0.0000 0.5000 0.5000 x1  6 N 2.55
Th 0.5000 0.0000 0.5000 x1  6 N 2.51
Th 0.5000 0.5000 0.0000 x1  6 N 2.57-2.58
N 0.2523 0.0000 0.7420 x2  3 Th 2.51-2.58, 2 Ho 2.55, 1 Pr 2.61
N 0.2604 0.5000 0.2624 x2  3 Th 2.51-2.57, 1 Ho 2.55, 2 Pr 2.62

Calculated volume, Å³ per cell: 134.5
M_tot, μB/atom: 0.000
Formation energy (no corrections), eV per atom: -1.54
Crystal system: monoclinic

# PrHo2ThN4

Crystalline PrHo2ThN4 at its relaxed geometry (PBE-GGA, Alexandria).

Cell: 6.1674 3.5704 6.1731 Å, 90.00 109.33 90.00°
With the nearest neighbours (Å) after each atom.
Space group P2/m (No. 10)
Inequivalent atoms, fractional coordinates:
Pr 0.0000 0.0000 0.0000 x1  6 N 2.58
Ho 0.5000 0.0000 0.5000 x1  6 N 2.46-2.47
Ho 0.5000 0.5000 0.0000 x1  6 N 2.51-2.53
Th 0.0000 0.5000 0.5000 x1  6 N 2.51-2.54
N 0.2582 0.0000 0.7459 x2  3 Ho 2.46-2.51, 2 Th 2.54, 1 Pr 2.58
N 0.2608 0.5000 0.2622 x2  3 Ho 2.47-2.53, 1 Th 2.51, 2 Pr 2.58

Calculated volume, Å³ per cell: 128.3
M_tot, μB/atom: 0.000
Formation energy (no corrections), eV per atom: -1.58
Crystal system: monoclinic

# PrHo2TlN

Crystalline PrHo2TlN at its relaxed geometry (PBE-GGA, Alexandria).

Cell: 4.8179 4.8179 5.0670 Å, 90.00 90.00 90.00°
With the nearest neighbours (Å) after each atom.
Space group P4/mmm (No. 123)
Inequivalent atoms, fractional coordinates:
Pr 0.0000 0.0000 0.0000 x1  2 N 2.53
Ho 0.0000 0.5000 0.5000 x2  2 N 2.41
Tl 0.5000 0.5000 0.0000 x1  4 Pr 3.41, 8 Ho 3.50
N 0.0000 0.0000 0.5000 x1  4 Ho 2.41, 2 Pr 2.53

Calculated volume, Å³ per cell: 117.6
M_tot, μB/atom: 0.000
Formation energy (no corrections), eV per atom: -0.87
Crystal system: tetragonal

# PrHo2UN4

Crystalline PrHo2UN4 at its relaxed geometry (PBE-GGA, Alexandria).

Cell: 6.0276 3.4977 6.0980 Å, 90.00 109.07 90.00°
With the nearest neighbours (Å) after each atom.
Space group P2/m (No. 10)
Inequivalent atoms, fractional coordinates:
Pr 0.0000 0.0000 0.0000 x1  6 N 2.54-2.56
Ho 0.5000 0.0000 0.5000 x1  6 N 2.40-2.42
Ho 0.5000 0.5000 0.0000 x1  6 N 2.53-2.64
U 0.0000 0.5000 0.5000 x1  6 N 2.30-2.43
N 0.2463 0.5000 0.2807 x2  1 U 2.30, 2 Ho 2.42, 2 Pr 2.56
N 0.2479 0.0000 0.7334 x2  3 Ho 2.40-2.53, 2 U 2.43, 1 Pr 2.54

Calculated volume, Å³ per cell: 121.5
M_tot, μB/atom: 0.177
Formation energy (no corrections), eV per atom: -1.51
Crystal system: monoclinic

# Pr2HoUN4

Crystalline Pr2HoUN4 at its relaxed geometry (PBE-GGA, Alexandria).

Cell: 6.0450 3.5474 6.2128 Å, 90.00 108.83 90.00°
With the nearest neighbours (Å) after each atom.
Space group P2/m (No. 10)
Inequivalent atoms, fractional coordinates:
Pr 0.0000 0.0000 0.0000 x1  6 N 2.70-2.75
Pr 0.5000 0.5000 0.0000 x1  6 N 2.59-2.61
Ho 0.0000 0.5000 0.5000 x1  6 N 2.42-2.45
U 0.5000 0.0000 0.5000 x1  6 N 2.24-2.34
N 0.2612 0.0000 0.7105 x2  1 U 2.24, 2 Ho 2.45
N 0.2778 0.5000 0.2931 x2  2 U 2.34, 1 Ho 2.42, 1 Pr 2.59

Calculated volume, Å³ per cell: 126.1
M_tot, μB/atom: 0.001
Formation energy (no corrections), eV per atom: -1.48
Crystal system: monoclinic

# Pr3Ho2UN6

Crystalline Pr3Ho2UN6 at its relaxed geometry (PBE-GGA, Alexandria).

Cell: 6.1091 10.5640 6.2222 Å, 90.00 109.07 90.00°
With the nearest neighbours (Å) after each atom.
Space group C2/m (No. 12)
Inequivalent atoms, fractional coordinates:
Pr 0.0000 0.0000 0.0000 x2  6 N 2.58-2.72
Pr 0.0000 0.3315 0.0000 x4  6 N 2.58-2.72
Ho 0.0000 0.1662 0.5000 x4  6 N 2.46
U 0.0000 0.5000 0.5000 x2  6 N 2.29-2.30
N 0.2277 0.3444 0.7162 x8  1 U 2.29, 2 Ho 2.46
N 0.2392 0.5000 0.2811 x4  1 U 2.30, 2 Ho 2.46

Calculated volume, Å³ per cell: 379.5
M_tot, μB/atom: 0.001
Formation energy (no corrections), eV per atom: -1.51
Crystal system: monoclinic

# PrHoW2N6

Crystalline PrHoW2N6 at its relaxed geometry (PBE-GGA, Alexandria).

Cell: 11.4138 9.7988 6.4786 Å, 90.00 113.34 90.00°
With the nearest neighbours (Å) after each atom.
Space group C2/c (No. 15)
Inequivalent atoms, fractional coordinates:
Pr 0.0000 0.0965 0.2500 x4  6 N 2.39-2.62
Ho 0.0000 0.2881 0.7500 x4  6 N 2.33-2.52
W 0.2090 0.4139 0.2078 x8  4 N 1.80-1.96
N 0.1147 0.1148 0.6672 x8  1 W 1.87
N 0.1264 0.2528 0.1430 x8  1 W 1.80
N 0.1510 0.4850 0.9106 x8  2 W 1.90-1.96

Calculated volume, Å³ per cell: 665.3
M_tot, μB/atom: 0.000
Formation energy (no corrections), eV per atom: -0.94
Crystal system: monoclinic

# PrHo2ZrN4

Crystalline PrHo2ZrN4 at its relaxed geometry (PBE-GGA, Alexandria).

Cell: 5.9614 3.4484 6.0142 Å, 90.00 109.23 90.00°
With the nearest neighbours (Å) after each atom.
Space group P2/m (No. 10)
Inequivalent atoms, fractional coordinates:
Pr 0.0000 0.0000 0.0000 x1  6 N 2.50
Ho 0.5000 0.0000 0.5000 x1  6 N 2.39
Ho 0.5000 0.5000 0.0000 x1  6 N 2.50-2.53
Zr 0.0000 0.5000 0.5000 x1  6 N 2.35-2.39
N 0.2437 0.0000 0.7327 x2  3 Ho 2.39-2.50, 2 Zr 2.39, 1 Pr 2.50
N 0.2523 0.5000 0.2707 x2  1 Zr 2.35, 3 Ho 2.39-2.53, 2 Pr 2.50

Calculated volume, Å³ per cell: 116.7
M_tot, μB/atom: 0.000
Formation energy (no corrections), eV per atom: -1.58
Crystal system: monoclinic

# Pr2HoZrN4

Crystalline Pr2HoZrN4 at its relaxed geometry (PBE-GGA, Alexandria).

Cell: 6.0434 3.4864 6.1272 Å, 90.00 109.02 90.00°
With the nearest neighbours (Å) after each atom.
Space group P2/m (No. 10)
Inequivalent atoms, fractional coordinates:
Pr 0.0000 0.0000 0.0000 x1  6 N 2.61-2.62
Pr 0.5000 0.5000 0.0000 x1  6 N 2.54-2.55
Ho 0.0000 0.5000 0.5000 x1  6 N 2.43
Zr 0.5000 0.0000 0.5000 x1  6 N 2.33-2.36
N 0.2531 0.0000 0.7242 x2  1 Zr 2.33, 2 Ho 2.43, 2 Pr 2.55
N 0.2689 0.5000 0.2799 x2  2 Zr 2.36, 1 Ho 2.43, 3 Pr 2.54-2.61

Calculated volume, Å³ per cell: 122.1
M_tot, μB/atom: 0.000
Formation energy (no corrections), eV per atom: -1.51
Crystal system: monoclinic

# PrHoZrN3

Crystalline PrHoZrN3 at its relaxed geometry (PBE-GGA, Alexandria).

Cell: 6.5204 3.3338 9.6658 Å, 90.00 93.78 90.00°
With the nearest neighbours (Å) after each atom.
Space group P2_1/m (No. 11)
Inequivalent atoms, fractional coordinates:
Pr 0.1616 0.2500 0.2162 x2  6 N 2.53-2.62
Ho 0.2006 0.2500 0.5746 x2  3 N 2.23-2.31
Zr 0.3489 0.7500 0.8931 x2  3 N 2.08-2.19
N 0.1448 0.2500 0.8299 x2  2 Zr 2.19
N 0.1539 0.7500 0.4227 x2  3 Ho 2.23-2.31
N 0.3966 0.7500 0.1084 x2  1 Zr 2.08

Calculated volume, Å³ per cell: 209.7
M_tot, μB/atom: 0.048
Formation energy (no corrections), eV per atom: -1.31
Crystal system: monoclinic

# Ho6Pt2N

Crystalline Ho6Pt2N at its relaxed geometry (PBE-GGA, Alexandria).

Cell: 6.4693 6.9736 11.3115 Å, 90.00 123.63 90.00°
With the nearest neighbours (Å) after each atom.
Space group P2_1/c (No. 14)
Inequivalent atoms, fractional coordinates:
Ho 0.1314 0.0304 0.2420 x4  1 N 2.38
Ho 0.2356 0.6970 0.0561 x4  1 N 2.47
Ho 0.3604 0.1804 0.0551 x4  1 N 2.41
Pt 0.2895 0.0897 0.7525 x4  6 Ho 2.82-2.99
N 0.0000 0.0000 0.0000 x2  6 Ho 2.38-2.47

Calculated volume, Å³ per cell: 424.9
M_tot, μB/atom: 0.000
Formation energy (no corrections), eV per atom: -1.02
Crystal system: monoclinic